Entry 1:
## ZrTaAl2 (GGA-PBEsol)

Data for ZrTaAl2 after structural relaxation.

abc: 2.8823 4.9486 5.3604
angles: 96.81 90.00 106.93
Atoms (fractional coordinates):
Al (0.7461, 0.4923, 0.7255)
Al (0.2539, 0.5077, 0.2745)
Zr (0.5000, 0.0000, 0.0000)
Ta (0.0000, 0.0000, 0.5000)

Summary:
Volume = 72.6 Å³/f.u.
Space group = C2/m (12)
Total energy = -7.56 eV per atom



Entry 2:
## BeSiCl (GGA-PBEsol)

Data for BeSiCl after structural relaxation.

abc: 2.7877 2.7877 7.0791
angles: 101.36 101.36 90.00
Atoms (fractional coordinates):
Be (0.0112, 0.0112, 0.0224)
Si (0.3821, 0.3821, 0.7643)
Cl (0.6067, 0.6067, 0.2133)

Summary:
Volume = 52.8 Å³/f.u.
Space group = I4mm (107)
Total energy = -3.65 eV per atom



Entry 3:
## HgAuCl2 (GGA-PBEsol)

Data for HgAuCl2 after structural relaxation.

abc: 3.6740 3.9190 5.9896
angles: 90.00 90.00 90.00
Atoms (fractional coordinates):
Au (0.0000, 0.5000, 0.5000)
Hg (0.5000, 0.5000, 0.0000)
Cl (0.0000, 0.0000, 0.0000)
Cl (0.5000, 0.0000, 0.5000)

Summary:
Volume = 86.2 Å³/f.u.
Space group = Pmmm (47)
Total energy = -2.07 eV per atom



Entry 4:
## CaPb2Br (GGA-PBEsol)

Data for CaPb2Br after structural relaxation.

abc: 3.5763 5.6295 5.6295
angles: 90.00 90.00 90.00
Atoms (fractional coordinates):
Pb (0.0000, 0.0000, 0.5000)
Pb (0.0000, 0.5000, 0.0000)
Ca (0.5000, 0.0000, 0.0000)
Br (0.5000, 0.5000, 0.5000)

Summary:
Volume = 113.3 Å³/f.u.
Space group = P4/mmm (123)
Total energy = -3.40 eV per atom